1.
Here is an optimized crystal structure of SrY3Sn from the Alexandria database. Energies are from GGA-PBE. Values from VASP.

```
&SYSTEM
  ibrav = 0, nat = 5, ntyp = 3
/
ATOMIC_SPECIES
Sn 118.71 Sn.upf
Sr 87.62 Sr.upf
Y 88.91 Y.upf
ATOMIC_POSITIONS crystal
Sn 0.0000 0.0000 0.0000
Sr 0.5000 0.5000 0.5000
Y 0.0000 0.0000 0.5000
Y 0.0000 0.5000 0.0000
Y 0.5000 0.0000 0.0000
CELL_PARAMETERS angstrom
-4.1216 -4.1832 0.1142
2.6970 -2.5328 4.5618
-3.1997 3.2535 3.6981
```

- Space group: No. 221
- Distance to the lowest polymorph of the same formula: 0.000 eV/atom
- Calculated total energy: -4.94 eV/atom
- DFT formation energy: 0.0709 eV per atom
- Fermi-level density of states: 9.83 states/eV/f.u.

---

2.
Here is an optimized crystal structure of ScRh2Pb from the Alexandria database. Energies are from GGA-PBE. Values from VASP.

```
&SYSTEM
  ibrav = 0, nat = 4, ntyp = 3
/
ATOMIC_SPECIES
Rh 102.91 Rh.upf
Pb 207.20 Pb.upf
Sc 44.96 Sc.upf
ATOMIC_POSITIONS crystal
Rh 0.0000 0.0000 0.0000
Rh 0.0000 0.5000 0.5000
Pb 0.5000 0.0000 0.5000
Sc 0.5000 0.5000 0.0000
CELL_PARAMETERS angstrom
3.6574 0.0000 0.0000
0.0000 4.3935 0.0000
0.0000 0.0000 4.3935
```

- Space group: No. 123
- Calculated total energy: -6.76 eV/atom
- DFT formation energy: -0.5721 eV per atom
- Fermi-level density of states: 1.79 states/eV/f.u.

---

3.
Here is an optimized crystal structure of NaPd2F2 from the Alexandria database. Energies are from GGA-PBE. Values from VASP.

```
&SYSTEM
  ibrav = 0, nat = 10, ntyp = 3
/
ATOMIC_SPECIES
F 19.00 F.upf
Pd 106.42 Pd.upf
Na 22.99 Na.upf
ATOMIC_POSITIONS crystal
F 0.7231 0.7769 0.5000
F 0.2231 0.7231 0.5000
F 0.2769 0.2231 0.5000
F 0.7769 0.2769 0.5000
Pd 0.3844 0.8844 0.0000
Pd 0.8844 0.6156 0.0000
Pd 0.6156 0.1156 0.0000
Pd 0.1156 0.3844 0.0000
Na 0.5000 0.5000 0.0000
Na 0.0000 0.0000 0.0000
CELL_PARAMETERS angstrom
-3.5909 0.3479 6.5476
-2.0675 -7.1444 -0.7542
2.4006 -0.8384 1.3611
```

- Space group: No. 127
- Distance to the lowest polymorph of the same formula: 0.000 eV/atom
- Formation energy without anion corrections: -0.639 eV per atom
- Calculated total energy: -3.73 eV/atom
- Fermi-level density of states: 2.37 states/eV/f.u.

---

4.
Here is an optimized crystal structure of NbP2PbSe from the Alexandria database. Energies are from GGA-PBE. Values from VASP.

```
&SYSTEM
  ibrav = 0, nat = 5, ntyp = 4
/
ATOMIC_SPECIES
Se 78.96 Se.upf
P 30.97 P.upf
Nb 92.91 Nb.upf
Pb 207.20 Pb.upf
ATOMIC_POSITIONS crystal
Se 0.5000 0.5000 0.5000
P 0.5000 0.0000 0.0000
P 0.0000 0.0000 0.5000
Nb 0.0000 0.0000 0.0000
Pb 0.0000 0.5000 0.0000
CELL_PARAMETERS angstrom
-2.2287 -0.1908 -4.1628
-4.8123 -2.1630 2.6755
-1.6084 4.3944 0.6596
```

- Space group: No. 123
- Formation energy without anion corrections: 0.371 eV per atom
- Calculated total energy: -5.25 eV/atom
- Fermi-level density of states: 5.39 states/eV/f.u.

---

5.
Here is an optimized crystal structure of YPtAu2 from the Alexandria database. Energies are from GGA-PBE. Values from VASP.

```
&SYSTEM
  ibrav = 0, nat = 8, ntyp = 3
/
ATOMIC_SPECIES
Au 196.97 Au.upf
Pt 195.08 Pt.upf
Y 88.91 Y.upf
ATOMIC_POSITIONS crystal
Au 0.3750 0.3596 0.7500
Au 0.6404 0.1250 0.2500
Au 0.8750 0.8904 0.7500
Au 0.1096 0.6250 0.2500
Pt 0.0000 0.0000 0.0000
Pt 0.7500 0.2500 0.5000
Y 0.2500 0.7500 0.5000
Y 0.5000 0.5000 0.0000
CELL_PARAMETERS angstrom
4.0438 0.0000 0.0000
0.0000 4.0438 0.0000
2.0219 2.0219 10.2661
```

- Space group: No. 122
- Distance to the lowest polymorph of the same formula: 0.234 eV/atom
- Calculated total energy: -5.30 eV/atom
- DFT formation energy: -0.5375 eV per atom
- Fermi-level density of states: 1.76 states/eV/f.u.

---

6.
Here is an optimized crystal structure of LaBe2Cu2 from the Alexandria database. Energies are from GGA-PBE. Values from VASP.

```
&SYSTEM
  ibrav = 0, nat = 10, ntyp = 3
/
ATOMIC_SPECIES
Cu 63.55 Cu.upf
Be 9.01 Be.upf
La 138.91 La.upf
ATOMIC_POSITIONS crystal
Cu 0.8800 0.6200 0.0000
Cu 0.3800 0.8800 0.0000
Cu 0.6200 0.1200 0.0000
Cu 0.1200 0.3800 0.0000
Be 0.1526 0.6526 0.5000
Be 0.8474 0.3474 0.5000
Be 0.3474 0.1526 0.5000
Be 0.6526 0.8474 0.5000
La 0.5000 0.5000 0.0000
La 0.0000 0.0000 0.0000
CELL_PARAMETERS angstrom
-5.8191 -2.1301 4.0055
4.0599 -5.3523 3.0519
0.7548 1.7190 2.0106
```

- Space group: No. 127
- Distance to the lowest polymorph of the same formula: 0.290 eV/atom
- Calculated total energy: -3.85 eV/atom
- DFT formation energy: 0.2629 eV per atom
- Fermi-level density of states: 3.52 states/eV/f.u.